<1>
Computed, not measured: a geometry-optimized Cu7Ag3 structure at the PBE-GGA level of DFT.

The structure in POSCAR format:
```
Cu7Ag3
1.0
-6.352 3.170 1.349
-6.805 2.145 -1.144
-0.640 -6.712 2.877
Ag Cu
3 7
direct
0.600 0.600 0.272
0.997 0.997 0.512
0.202 0.202 0.613
0.212 0.212 0.092
0.399 0.399 0.192
0.803 0.803 0.389
0.393 0.393 0.706
0.600 0.600 0.831
0.805 0.805 0.913
0.989 0.989 0.981
```



<2>
Computed, not measured: a geometry-optimized Cu7Ag3 structure at the PBE-GGA level of DFT.

The structure in POSCAR format:
```
Cu7Ag3
1.0
-9.857 -16.201 10.034
-8.542 -17.847 8.294
-7.355 -17.114 10.644
Ag Cu
3 7
direct
0.402 0.402 0.402
0.502 0.502 0.502
0.696 0.696 0.696
0.104 0.104 0.104
0.204 0.204 0.204
0.297 0.297 0.297
0.599 0.599 0.599
0.800 0.800 0.800
0.902 0.902 0.902
0.994 0.994 0.994
```



<1> ends up most stable, edging out the next structure by 22 meV per atom.



<1>
Computed, not measured: a geometry-optimized Cu7Ag3 structure at the PBE-GGA level of DFT.

The structure in POSCAR format:
```
Cu7Ag3
1.0
-5.321 -6.249 -4.360
-2.867 -7.234 -5.082
0.421 -2.527 4.877
Ag Cu
3 7
direct
0.306 0.306 0.395
0.500 0.500 0.500
0.694 0.694 0.605
0.500 0.500 0.000
0.697 0.697 0.095
0.903 0.903 0.175
0.099 0.099 0.276
0.901 0.901 0.724
0.097 0.097 0.825
0.303 0.303 0.905
```



<2>
Computed, not measured: a geometry-optimized Cu7Ag3 structure at the PBE-GGA level of DFT.

The structure in POSCAR format:
```
Cu7Ag3
1.0
-3.859 -2.589 -0.545
1.508 -2.269 0.103
-0.051 0.462 10.945
Ag Cu
3 7
direct
0.896 0.500 0.187
0.395 0.000 0.196
0.806 0.000 0.415
0.306 0.500 0.418
0.213 0.000 0.611
0.698 0.500 0.616
0.101 0.500 0.795
0.598 0.000 0.800
0.997 0.000 0.980
0.490 0.500 0.983
```



<1> ends up most stable, edging out the next structure by 15 meV per atom.



<1>
Computed, not measured: a geometry-optimized NaPa structure at the PBE-GGA level of DFT.

## Properties
- total magnetization (μB/f.u.) = 4.0

The structure in POSCAR format:
```
NaPa
1.0
4.611 -1.184 0.891
2.220 1.713 3.948
1.070 -2.983 3.663
Na Pa
1 1
direct
0.000 0.000 0.000
0.250 0.250 0.250
```



<2>
Computed, not measured: a geometry-optimized NaPa structure at the PBE-GGA level of DFT.

## Properties
- total magnetization (μB/f.u.) = 0.0

The structure in POSCAR format:
```
NaPa
1.0
-0.162 -2.667 1.539
2.428 1.861 0.392
-3.048 2.964 4.814
Na Pa
1 1
direct
0.667 0.333 0.750
0.333 0.667 0.250
```



<2> ends up most stable, edging out the next structure by 2331 meV per atom.



<1>
Computed, not measured: a geometry-optimized PmSiAsO structure at the PBE-GGA level of DFT.

## Properties
- total magnetization (μB/f.u.) = 0.0

The structure in POSCAR format:
```
PmSiAsO
1.0
-1.647 -0.769 -3.716
3.677 -1.324 -1.356
-2.027 -8.312 2.620
As O Pm Si
2 2 2 2
direct
0.000 0.500 0.327
0.500 0.000 0.673
0.000 0.000 0.000
0.500 0.500 0.000
0.500 0.000 0.122
0.000 0.500 0.878
0.000 0.000 0.500
0.500 0.500 0.500
```



<2>
Computed, not measured: a geometry-optimized PmSiAsO structure at the PBE-GGA level of DFT.

## Properties
- total magnetization (μB/f.u.) = 0.0

The structure in POSCAR format:
```
PmSiAsO
1.0
5.936 0.000 0.000
0.000 5.936 0.000
0.000 0.000 4.723
As O Pm Si
2 2 2 2
direct
0.750 0.750 0.497
0.250 0.250 0.503
0.750 0.250 0.000
0.250 0.750 0.000
0.750 0.250 0.500
0.250 0.750 0.500
0.250 0.250 0.002
0.750 0.750 0.998
```



<1> ends up most stable, edging out the next structure by 530 meV per atom.



<1>
Computed, not measured: a geometry-optimized ZrMo structure at the PBE-GGA level of DFT.

## Properties
- total magnetization (μB/f.u.) = 0.0

The structure in POSCAR format:
```
ZrMo
1.0
-3.789 -2.616 -3.222
0.353 -4.418 3.172
-3.651 1.763 2.863
Mo Zr
4 4
direct
0.028 0.000 0.000
0.289 0.000 0.500
0.806 0.247 0.500
0.806 0.753 0.500
0.534 0.240 0.000
0.027 0.500 0.000
0.534 0.760 0.000
0.308 0.500 0.500
```



<2>
Computed, not measured: a geometry-optimized ZrMo structure at the PBE-GGA level of DFT.

## Properties
- total magnetization (μB/f.u.) = 0.0

The structure in POSCAR format:
```
ZrMo
1.0
3.179 4.482 0.000
-5.007 5.223 0.000
0.000 0.000 4.799
Mo Zr
5 5
direct
0.782 0.375 0.000
0.190 0.544 0.000
0.561 0.736 0.000
0.478 0.463 0.500
0.304 0.829 0.500
0.406 0.156 0.000
0.988 0.938 0.000
0.653 0.063 0.500
0.084 0.245 0.500
0.887 0.651 0.500
```



<3>
Computed, not measured: a geometry-optimized ZrMo structure at the PBE-GGA level of DFT.

## Properties
- total magnetization (μB/f.u.) = 0.0

The structure in POSCAR format:
```
ZrMo
1.0
5.624 0.000 0.000
0.000 11.274 0.000
0.000 0.000 4.886
Mo Zr
8 8
direct
0.053 0.519 0.000
0.442 0.638 0.000
0.442 0.862 0.000
0.053 0.981 0.000
0.280 0.019 0.500
0.891 0.138 0.500
0.891 0.362 0.500
0.280 0.481 0.500
0.593 0.097 0.000
0.106 0.250 0.000
0.593 0.403 0.000
0.906 0.750 0.000
0.427 0.250 0.500
0.740 0.597 0.500
0.227 0.750 0.500
0.740 0.903 0.500
```



<2> ends up most stable, edging out the next structure by 56 meV per atom.



<1>
Computed, not measured: a geometry-optimized TaAlFeNi structure at the PBE-GGA level of DFT.

## Properties
- total magnetization (μB/f.u.) = 2.1

The structure in POSCAR format:
```
TaAlFeNi
1.0
0.000 3.015 3.015
3.015 0.000 3.015
3.015 3.015 0.000
Al Fe Ni Ta
1 1 1 1
direct
0.000 0.000 0.000
0.750 0.750 0.750
0.500 0.500 0.500
0.250 0.250 0.250
```



<2>
Computed, not measured: a geometry-optimized TaAlFeNi structure at the PBE-GGA level of DFT.

## Properties
- total magnetization (μB/f.u.) = 1.9

The structure in POSCAR format:
```
TaAlFeNi
1.0
0.000 3.011 3.011
3.011 0.000 3.011
3.011 3.011 0.000
Al Fe Ni Ta
1 1 1 1
direct
0.000 0.000 0.000
0.500 0.500 0.500
0.750 0.750 0.750
0.250 0.250 0.250
```



<2> ends up most stable, edging out the next structure by 69 meV per atom.



<1>
Computed, not measured: a geometry-optimized Cu2Ag structure at the PBE-GGA level of DFT.

The structure in POSCAR format:
```
Cu2Ag
1.0
6.979 -1.372 0.000
6.979 1.372 0.000
-4.492 0.000 6.559
Ag Cu
3 6
direct
0.662 0.662 0.006
0.560 0.560 0.335
0.333 0.333 0.993
0.234 0.234 0.350
0.890 0.890 0.351
0.781 0.781 0.658
0.105 0.105 0.664
0.442 0.442 0.664
0.993 0.993 0.980
```



<2>
Computed, not measured: a geometry-optimized Cu2Ag structure at the PBE-GGA level of DFT.

The structure in POSCAR format:
```
Cu2Ag
1.0
2.743 0.000 0.000
0.000 2.743 0.000
0.000 0.000 11.085
Ag Cu
2 4
direct
0.500 0.500 0.177
0.500 0.500 0.823
0.000 0.000 0.000
0.000 0.000 0.354
0.500 0.500 0.500
0.000 0.000 0.646
```



<2> ends up most stable, edging out the next structure by 13 meV per atom.



<1>
Computed, not measured: a geometry-optimized Cu2Ag structure at the PBE-GGA level of DFT.

The structure in POSCAR format:
```
Cu2Ag
1.0
7.007 -1.369 0.000
7.007 1.369 0.000
-0.133 0.000 6.548
Ag Cu
3 6
direct
0.892 0.892 0.316
0.216 0.216 0.330
0.447 0.447 0.685
0.012 0.012 0.012
0.556 0.556 0.338
0.115 0.115 0.672
0.773 0.773 0.675
0.325 0.325 0.985
0.665 0.665 0.986
```



<2>
Computed, not measured: a geometry-optimized Cu2Ag structure at the PBE-GGA level of DFT.

The structure in POSCAR format:
```
Cu2Ag
1.0
-1.379 1.768 12.800
1.379 -1.768 12.800
1.379 1.768 -12.800
Ag Cu
3 6
direct
0.218 0.218 0.000
0.454 0.454 0.000
0.884 0.884 0.000
0.013 0.013 0.000
0.111 0.111 0.000
0.324 0.324 0.000
0.561 0.561 0.000
0.659 0.659 0.000
0.777 0.777 0.000
```



<3>
Computed, not measured: a geometry-optimized Cu2Ag structure at the PBE-GGA level of DFT.

The structure in POSCAR format:
```
Cu2Ag
1.0
4.450 -1.372 0.000
4.450 1.372 0.000
-3.021 0.000 6.850
Ag Cu
2 4
direct
0.333 0.333 0.400
0.667 0.667 0.600
0.663 0.663 0.069
0.001 0.001 0.228
0.999 0.999 0.772
0.337 0.337 0.931
```



<2> ends up most stable, edging out the next structure by 5 meV per atom.